No. 1
Here is a geometry-optimized Nd2YThSe4 structure from Alexandria via LeMat-Bulk. Energies are from PBE.

Cell: 7.248 4.162 7.302 Å, 90.00 109.19 90.00°
Atoms (fractional coordinates):
1 Nd 0.000 0.000 0.000
2 Nd 0.000 0.500 0.500
3 Y 0.500 0.000 0.500
4 Th 0.500 0.500 0.000
5 Se 0.254 0.000 0.745
6 Se 0.259 0.500 0.259
7 Se 0.741 0.500 0.741
8 Se 0.746 0.000 0.255

Calculated values
- Symmetry: P2/m, No. 10
- Total magnetization: 0.00 Bohr magnetons per cell

No. 2
Here is a geometry-optimized Mg3MoP structure from Alexandria via LeMat-Bulk. Energies are from PBE.

Cell: 4.857 4.857 4.857 Å, 90.00 90.00 90.00°
Atoms (fractional coordinates):
1 Mg 0.000 0.000 0.500
2 Mg 0.000 0.500 0.000
3 Mg 0.500 0.000 0.000
4 Mo 0.500 0.500 0.500
5 P 0.000 0.000 0.000

Calculated values
- Symmetry: Pm-3m, No. 221
- Formation energy: 0.64 eV per atom
- Total magnetization: 3.41 Bohr magnetons per cell
- Excess energy over the best structure of this formula in the dataset: 0.00 eV/f.u.

No. 3
Here is a geometry-optimized Nd3Pd2Au7 structure from Alexandria via LeMat-Bulk. Energies are from PBE.

Cell: 15.577 15.577 4.003 Å, 90.00 90.00 164.13°
Atoms (fractional coordinates):
1 Nd 0.000 0.000 0.000
2 Nd 0.176 0.824 0.000
3 Nd 0.824 0.176 0.000
4 Pd 0.363 0.637 0.500
5 Pd 0.637 0.363 0.500
6 Au 0.080 0.920 0.500
7 Au 0.277 0.723 0.500
8 Au 0.425 0.575 0.000
9 Au 0.500 0.500 0.500
10 Au 0.575 0.425 0.000
11 Au 0.723 0.277 0.500
12 Au 0.920 0.080 0.500

Calculated values
- Symmetry: Cmmm, No. 65
- Formation energy: -0.55 eV per atom
- Total magnetization: 0.00 Bohr magnetons per cell

No. 4
Here is a geometry-optimized ScAlPb2O5 structure from Alexandria via LeMat-Bulk. Energies are from PBE.

Cell: 7.236 7.236 11.904 Å, 90.00 90.00 153.98°
Atoms (fractional coordinates):
1 Sc 0.199 0.801 0.500
2 Sc 0.801 0.199 0.000
3 Al 0.459 0.541 0.899
4 Al 0.541 0.459 0.399
5 Pb 0.109 0.891 0.112
6 Pb 0.146 0.854 0.780
7 Pb 0.854 0.146 0.280
8 Pb 0.891 0.109 0.612
9 O 0.030 0.970 0.472
10 O 0.297 0.703 0.117
11 O 0.332 0.668 0.890
12 O 0.344 0.656 0.485
13 O 0.478 0.522 0.272
14 O 0.522 0.478 0.772
15 O 0.656 0.344 0.985
16 O 0.668 0.332 0.390
17 O 0.703 0.297 0.617
18 O 0.970 0.030 0.972

Calculated values
- Symmetry: Cmc2_1, No. 36
- Total magnetization: 0.00 Bohr magnetons per cell

No. 5
Here is a geometry-optimized Ca3HfIn structure from Alexandria via LeMat-Bulk. Energies are from PBE.

Cell: 5.745 5.745 5.745 Å, 90.00 90.00 90.00°
Atoms (fractional coordinates):
1 Ca 0.000 0.000 0.500
2 Ca 0.000 0.500 0.000
3 Ca 0.500 0.000 0.000
4 Hf 0.000 0.000 0.000
5 In 0.500 0.500 0.500

Calculated values
- Symmetry: Pm-3m, No. 221
- Formation energy: 0.88 eV per atom
- Total magnetization: 0.14 Bohr magnetons per cell
- Excess energy over the best structure of this formula in the dataset: 0.86 eV/f.u.

No. 6
Here is a geometry-optimized TbPmPd2 structure from Alexandria via LeMat-Bulk. Energies are from PBE.

Cell: 5.042 5.042 5.042 Å, 60.00 60.00 60.00°
Atoms (fractional coordinates):
1 Tb 0.000 0.000 0.000
2 Pm 0.500 0.500 0.500
3 Pd 0.250 0.250 0.250
4 Pd 0.750 0.750 0.750

Calculated values
- Symmetry: Fm-3m, No. 225
- Formation energy: -0.81 eV per atom
- Total magnetization: 0.00 Bohr magnetons per cell
- Excess energy over the best structure of this formula in the dataset: 0.22 eV/f.u.

No. 7
Here is a geometry-optimized Sr2CrCl structure from Alexandria via LeMat-Bulk. Energies are from PBE.

Cell: 9.087 9.087 9.087 Å, 155.56 153.86 36.09°
Atoms (fractional coordinates):
1 Sr 0.000 0.000 0.000
2 Sr 0.750 0.250 0.500
3 Cr 0.396 0.396 0.000
4 Cl 0.161 0.661 0.500

Calculated values
- Symmetry: Imm2, No. 44
- Total magnetization: 4.66 Bohr magnetons per cell
- Excess energy over the best structure of this formula in the dataset: 0.48 eV/f.u.

No. 8
Here is a geometry-optimized YAl2As structure from Alexandria via LeMat-Bulk. Energies are from PBE.

Cell: 4.909 4.909 4.909 Å, 60.00 60.00 60.00°
Atoms (fractional coordinates):
1 Y 0.000 0.000 0.000
2 Al 0.500 0.500 0.500
3 Al 0.750 0.750 0.750
4 As 0.250 0.250 0.250

Calculated values
- Symmetry: F-43m, No. 216
- Formation energy: -0.18 eV per atom
- Total magnetization: 0.00 Bohr magnetons per cell

Number 1: VASP energy -6.41 eV/atom. Number 2: VASP energy -3.57 eV/atom. Number 3: VASP energy -4.52 eV/atom. Number 4: VASP energy -6.90 eV/atom. Number 5: VASP energy -2.86 eV/atom. Number 6: VASP energy -5.75 eV/atom. Number 7: VASP energy -4.01 eV/atom. Number 8: VASP energy -4.83 eV/atom.